# 1
# Nd2RuO (PBE-GGA, optimized geometry)
# Formation energy without anion corrections (kJ/mol of formula units): -298.0
data_Nd2RuO
_space_group_name_H-M_alt 'R -3 m'
_space_group_IT_number 166
_space_group_name_Hall '-R 3 2"'
_cell_length_a 3.4408
_cell_length_b 3.4408
_cell_length_c 24.5591
_cell_angle_alpha 90.00
_cell_angle_beta 90.00
_cell_angle_gamma 120.00
loop_
_atom_site_label
_atom_site_type_symbol
_atom_site_fract_x
_atom_site_fract_y
_atom_site_fract_z
Nd1 Nd 0.0000 0.0000 0.1047
Ru1 Ru 0.0000 0.0000 0.0000
O1 O 0.0000 0.0000 0.5000


# 2
# Sc3MnIr (PBE-GGA, optimized geometry)
# Calculated total energy (eV per formula unit): -35.59
data_Sc3MnIr
_space_group_name_H-M_alt 'P m -3 m'
_space_group_IT_number 221
_space_group_name_Hall '-P 4 2 3'
_cell_length_a 4.605
_cell_length_b 4.605
_cell_length_c 4.605
_cell_angle_alpha 90.00
_cell_angle_beta 90.00
_cell_angle_gamma 90.00
loop_
_atom_site_label
_atom_site_type_symbol
_atom_site_fract_x
_atom_site_fract_y
_atom_site_fract_z
Sc1 Sc 0.000 0.000 0.500
Mn1 Mn 0.000 0.000 0.000
Ir1 Ir 0.500 0.500 0.500